# 1
A relaxed LaNiIr crystal, computed with PBE.

space group: Cm, No. 8
D(E_F): 2.6 states/eV/f.u.

a = 5.7381 Å, b = 5.7381 Å, c = 5.7110 Å
α = 106.39°, β = 106.39°, γ = 43.69°
Fractional positions:
La 0.0000 0.0000 0.0000
La 0.2177 0.2177 0.6171
Ni 0.3196 0.3196 0.2033
Ni 0.5031 0.5031 0.6077
Ir 0.7049 0.7049 0.9939
Ir 0.9013 0.9013 0.4218


# 2
A relaxed LaNiIr2 crystal, computed with PBE.

space group: R-3m, No. 166
D(E_F): 3.7 states/eV/f.u.

a = 8.9963 Å, b = 8.9963 Å, c = 8.9963 Å
α = 34.83°, β = 34.83°, γ = 34.83°
Fractional positions:
La 0.0000 0.0000 0.0000
La 0.1400 0.1400 0.1400
La 0.8600 0.8600 0.8600
Ni 0.3328 0.3328 0.3328
Ni 0.5000 0.5000 0.5000
Ni 0.6672 0.6672 0.6672
Ir 0.0802 0.5798 0.5798
Ir 0.4202 0.4202 0.9198
Ir 0.4202 0.9198 0.4202
Ir 0.5798 0.0802 0.5798
Ir 0.5798 0.5798 0.0802
Ir 0.9198 0.4202 0.4202


# 3
A relaxed LaNiIr2 crystal, computed with PBE.

space group: Pmmm, No. 47
D(E_F): 3.7 states/eV/f.u.

a = 3.0615 Å, b = 4.7056 Å, c = 4.7877 Å
α = 90.00°, β = 90.00°, γ = 90.00°
Fractional positions:
La 0.0000 0.0000 0.0000
Ni 0.5000 0.5000 0.0000
Ir 0.0000 0.5000 0.5000
Ir 0.5000 0.0000 0.5000


# 4
A relaxed LaNiIr crystal, computed with PBE.

space group: Imma, No. 74
D(E_F): 2.0 states/eV/f.u.

a = 5.3273 Å, b = 5.3273 Å, c = 5.3273 Å
α = 121.14°, β = 117.76°, γ = 90.98°
Fractional positions:
La 0.3730 0.1230 0.2500
La 0.6270 0.8770 0.7500
Ni 0.0000 0.0000 0.5000
Ni 0.0000 0.5000 0.0000
Ir 0.0000 0.5000 0.5000
Ir 0.5000 0.5000 0.0000


no.,E (eV/f.u.),energy of formation from the pure elements (eV per formula unit)
1,-20.94,-1.372
2,-30.65,-2.215
3,-28.29,0.141
4,-21.27,-1.700